First-principles (PBE with a Hubbard U) data for RbMnHg2F8 after structural relaxation, as listed in Alexandria.

Cell lengths 5.125, 5.480, 7.662 Å; angles 83.50, 88.79, 90.07 degrees
Site moments in Bohr magnetons follow the coordinates.
Element x y z (fractional)
F1 0.656 0.747 0.012  0.02
F2 0.858 0.191 0.166  0.00
Mn1 0.000 0.000 0.000  3.86
F3 0.873 0.218 0.810  -0.01
Rb1 0.000 0.000 0.500  0.00
Hg1 0.469 0.481 0.764  0.00
F4 0.344 0.253 0.988  0.02
F5 0.548 0.728 0.543  0.00
Hg2 0.531 0.519 0.236  0.00
F6 0.142 0.809 0.834  0.00
F7 0.452 0.272 0.457  0.00
F8 0.127 0.782 0.190  -0.01

Results
Calculated total energy ... -48.05 eV per formula unit
Total moment ... 4.0 μB/f.u.